! PBE NpSiPdO6, relaxed; values from VASP
! ΔE_f (raw) in meV per atom: -1926
&SYSTEM
  ibrav = 0, nat = 18, ntyp = 4
/
ATOMIC_SPECIES
O 16.00 O.upf
Pd 106.42 Pd.upf
Np 237.00 Np.upf
Si 28.09 Si.upf
CELL_PARAMETERS angstrom
5.187 0.000 0.000
-2.594 4.492 0.000
0.000 0.000 9.171
ATOMIC_POSITIONS angstrom
O -0.788 1.713 5.865
Pd 0.000 0.000 4.586
O 1.089 1.539 3.306
O 0.716 4.319 7.891
Np 0.000 2.995 2.293
O -1.504 2.953 7.891
Pd 0.000 0.000 0.000
Si 0.000 2.995 6.878
O 1.504 2.953 5.865
O 3.382 2.779 3.306
Np 2.594 1.497 6.878
O 3.310 0.174 3.306
O 4.098 1.539 1.280
O 1.878 0.174 1.280
Si 2.594 1.497 2.293
O 0.788 1.713 7.891
O 1.805 2.779 1.280
O -0.716 4.319 5.865

---

! PBE Na3NiP, relaxed; values from VASP
! ΔE_f in meV per atom: 541
! Energy relative to the lowest polymorph listed for this composition in eV/atom: 0.000
&SYSTEM
  ibrav = 0, nat = 5, ntyp = 3
/
ATOMIC_SPECIES
Na 22.99 Na.upf
P 30.97 P.upf
Ni 58.69 Ni.upf
CELL_PARAMETERS angstrom
-0.481 -0.174 -5.348
3.913 -3.675 -0.232
-3.651 -3.916 0.456
ATOMIC_POSITIONS angstrom
Na 1.956 -1.837 -0.116
P 0.000 0.000 0.000
Na -1.825 -1.958 0.228
Ni -0.109 -3.882 -2.563
Na -0.240 -0.087 -2.674

---

! PBE SiPbW2, relaxed; values from VASP
! Energy relative to the lowest polymorph listed for this composition in eV/atom: 0.598
! ΔE_f (raw) in meV per atom: 947
&SYSTEM
  ibrav = 0, nat = 4, ntyp = 3
/
ATOMIC_SPECIES
Pb 207.20 Pb.upf
Si 28.09 Si.upf
W 183.84 W.upf
CELL_PARAMETERS angstrom
-1.906 -0.585 2.647
3.761 -1.970 2.273
1.076 3.959 1.650
ATOMIC_POSITIONS angstrom
Pb -0.415 1.687 2.148
Si 2.419 0.995 1.962
W 0.000 0.000 0.000
W 0.928 -1.277 2.460

---

! PBE DyTc3C2, relaxed; values from VASP
! ΔE_f in meV per atom: -33
&SYSTEM
  ibrav = 0, nat = 12, ntyp = 3
/
ATOMIC_SPECIES
C 12.01 C.upf
Tc 98.00 Tc.upf
Dy 162.50 Dy.upf
CELL_PARAMETERS angstrom
3.700 0.000 0.000
-1.850 6.338 -0.345
0.000 -3.197 7.296
ATOMIC_POSITIONS angstrom
C 1.850 -0.530 1.848
Tc 1.850 -0.688 4.843
Tc 1.850 3.642 4.182
Tc 0.000 1.637 4.372
C 0.000 0.163 5.639
Tc 1.850 1.504 2.579
C 0.000 3.671 5.103
Tc 0.000 3.829 2.108
C 1.850 2.978 1.312
Tc 0.000 -0.501 2.768
Dy 1.850 1.474 6.926
Dy 0.000 1.667 0.025

---

! PBE KTcO3, relaxed; values from VASP
! ΔE_f (raw) in meV per atom: -657
&SYSTEM
  ibrav = 0, nat = 10, ntyp = 3
/
ATOMIC_SPECIES
O 16.00 O.upf
Tc 98.00 Tc.upf
K 39.10 K.upf
CELL_PARAMETERS angstrom
3.425 -1.977 0.000
0.000 3.954 0.000
0.000 0.000 8.151
ATOMIC_POSITIONS angstrom
O 0.000 0.000 2.038
O 1.142 1.977 3.712
Tc 0.000 0.000 0.000
K 1.142 1.977 6.113
O 2.283 0.000 7.788
O 0.000 0.000 6.113
O 1.142 1.977 0.363
O 2.283 0.000 4.438
Tc 0.000 0.000 4.075
K 2.283 0.000 2.038

---

! PBE HfTcAs, relaxed; values from VASP
! ΔE_f in meV per atom: -494
! Energy relative to the lowest polymorph listed for this composition in eV/atom: 0.256
&SYSTEM
  ibrav = 0, nat = 6, ntyp = 3
/
ATOMIC_SPECIES
Tc 98.00 Tc.upf
Hf 178.49 Hf.upf
As 74.92 As.upf
CELL_PARAMETERS angstrom
4.083 -0.002 0.001
2.033 4.804 0.002
2.023 0.833 5.275
ATOMIC_POSITIONS angstrom
Tc 3.036 2.006 4.925
Tc 5.103 3.628 0.352
Hf 3.053 1.717 1.661
As 3.060 4.387 1.564
As 5.080 1.247 3.714
Hf 5.086 3.917 3.617

---

! PBE CrInSb, relaxed; values from VASP
! Energy relative to the lowest polymorph listed for this composition in eV/atom: 0.000
! ΔE_f (raw) in meV per atom: 177
&SYSTEM
  ibrav = 0, nat = 3, ntyp = 3
/
ATOMIC_SPECIES
Cr 52.00 Cr.upf
In 114.82 In.upf
Sb 121.76 Sb.upf
CELL_PARAMETERS angstrom
4.684 0.000 0.000
2.342 4.057 0.000
2.342 1.352 3.825
ATOMIC_POSITIONS angstrom
Cr 7.026 4.057 2.868
In 0.000 0.000 0.000
Sb 4.684 2.704 1.912

---

! PBE GdZr3H, relaxed; values from VASP
! E_tot in hartree per atom: -0.318
&SYSTEM
  ibrav = 0, nat = 5, ntyp = 3
/
ATOMIC_SPECIES
H 1.01 H.upf
Gd 157.25 Gd.upf
Zr 91.22 Zr.upf
CELL_PARAMETERS angstrom
4.641 0.000 0.000
0.000 4.641 0.000
0.000 0.000 4.641
ATOMIC_POSITIONS angstrom
H 0.000 0.000 0.000
Gd 2.321 2.321 2.321
Zr 0.000 2.321 0.000
Zr 0.000 0.000 2.321
Zr 2.321 0.000 0.000

---

| no. | N(E_F) (states/eV/atom) |
| --- | --- |
| 1 | 0.475 |
| 2 | 2.323 |
| 3 | 0.917 |
| 4 | 0.409 |
| 5 | 0.502 |
| 6 | 0.606 |
| 7 | 0.468 |
| 8 | 1.347 |